The following is a PBE calculation of an optimized crystal structure of KB3Au, from Alexandria via LeMat-Bulk.

Structure (POSCAR):
```
KB3Au
1.0
-2.704 -2.325 2.567
3.428 -2.261 1.563
0.494 2.965 3.205
K B Au
1 3 1
Direct
0.500 0.500 0.500
0.000 0.000 0.500
0.500 0.000 0.000
0.000 0.500 0.000
0.000 0.000 0.000
```

Values from the calculation:
ρ = 5.25 g cm⁻³
size of the total moment = 2.539 μB/f.u.
ΔE to the lowest computed polymorph = 0.0 meV/atom
ΔH_f (0 K) = 1.68 eV/atom
DFT total energy = -15.99 eV/cell